# CuSi2Ir | Alexandria | PBE | optimized geometry
data_CuSi2Ir
_cell_length_a 2.930
_cell_length_b 4.565
_cell_length_c 4.537
_cell_angle_alpha 90.00
_cell_angle_beta 107.53
_cell_angle_gamma 90.00
_space_group_name_H-M_alt 'P 1 m 1'
_space_group_IT_number 6
loop_
_space_group_symop_operation_xyz
'x,y,z'
'x,-y,z'
loop_
_atom_site_label
_atom_site_fract_x
_atom_site_fract_y
_atom_site_fract_z
Cu1 0.000 0.000 0.000
Si1 0.111 0.500 0.225
Si2 0.704 0.000 0.447
Ir1 0.815 0.500 0.663
# Energy relative to the elements, uncorrected = -233 meV/atom
# Magnetization = 0.000 Bohr magnetons per cell

=====

# CuSiIr2 | Alexandria | PBE | optimized geometry
data_CuSiIr2
_cell_length_a 4.235
_cell_length_b 4.235
_cell_length_c 2.934
_cell_angle_alpha 90.00
_cell_angle_beta 90.00
_cell_angle_gamma 90.00
_space_group_name_H-M_alt 'P 4/m m m'
_space_group_IT_number 123
_space_group_name_Hall '-P 4 2'
loop_
_atom_site_label
_atom_site_fract_x
_atom_site_fract_y
_atom_site_fract_z
Cu1 0.000 0.000 0.000
Si1 0.500 0.500 0.000
Ir1 0.000 0.500 0.500
# Energy relative to the elements, uncorrected = -230 meV/atom
# Magnetization = 0.000 Bohr magnetons per cell